No. 1
First-principles (PBE-GGA) data for crystalline Sc3Be2Pt4 at its relaxed geometry, as listed in Alexandria.

Unit cell a=4.8884 b=4.8884 c=7.7213 alpha=95.46 beta=95.46 gamma=50.67
Last column: nearest neighbours and their distance in Å.
Positions (direct):
Sc  0.0000  0.0000  0.0000  8 Pt 2.77-2.93
Sc  0.3938  0.3938  0.2820  4 Be 2.72-2.94, 6 Pt 2.74-3.03
Sc  0.6062  0.6062  0.7180  4 Be 2.72-2.94, 6 Pt 2.74-3.03
Be  0.2795  0.2795  0.5958  4 Pt 2.27-2.36
Be  0.7205  0.7205  0.4042  4 Pt 2.27-2.36
Pt  0.0996  0.0996  0.3628  3 Be 2.27-2.36
Pt  0.3081  0.3081  0.8914  1 Be 2.27
Pt  0.6919  0.6919  0.1086  1 Be 2.27
Pt  0.9004  0.9004  0.6372  3 Be 2.27-2.36

## Properties
The calculation puts the formation energy from the elements at -0.980 eV per atom. The density of states at the Fermi level is 0.5122 states/eV/atom. Its space group is C2/m, No. 12.



No. 2
First-principles (PBE-GGA) data for crystalline Rb2CoNiCl6 at its relaxed geometry, as listed in Alexandria.

Unit cell a=6.7596 b=6.7596 c=6.7596 alpha=116.90 beta=116.90 gamma=95.45
Last column: nearest neighbours and their distance in Å.
Positions (direct):
Rb  0.2500  0.7500  0.5000  12 Cl 3.38-3.54
Rb  0.7500  0.2500  0.5000  12 Cl 3.38-3.54
Co  0.0000  0.0000  0.0000  6 Cl 2.26-2.52
Ni  0.5000  0.5000  0.0000  6 Cl 2.29-2.48
Cl  0.2485  0.2485  0.0000  1 Co 2.26, 1 Ni 2.29
Cl  0.2519  0.2519  0.5038  1 Ni 2.48, 1 Co 2.52
Cl  0.2519  0.7481  0.0000  1 Ni 2.48, 1 Co 2.52
Cl  0.7481  0.2519  0.0000  1 Ni 2.48, 1 Co 2.52
Cl  0.7481  0.7481  0.4962  1 Ni 2.48, 1 Co 2.52
Cl  0.7515  0.7515  0.0000  1 Co 2.26, 1 Ni 2.29

## Properties
The density of states at the Fermi level is 1.8490 states/eV/atom. The raw formation energy is -1071 meV per atom. The energy relative to the lowest polymorph listed for this composition comes out at 20 meV per atom. Its space group is I4/mmm, No. 139.



No. 3
First-principles (PBE-GGA) data for crystalline NbV2MoN at its relaxed geometry, as listed in Alexandria.

Unit cell a=4.6851 b=4.6851 c=3.8234 alpha=90.00 beta=90.00 gamma=90.00
Last column: nearest neighbours and their distance in Å.
Positions (direct):
Nb  0.0000  0.0000  0.0000  8 V 3.02, 4 N 3.31
V  0.0000  0.5000  0.5000  2 Mo 2.34
V  0.5000  0.0000  0.5000  2 Mo 2.34
Mo  0.5000  0.5000  0.5000  2 N 1.91
N  0.5000  0.5000  0.0000  2 Mo 1.91

## Properties
The density of states at the Fermi level is 1.3995 states/eV/atom. The raw formation energy is 1228 meV per atom. The energy relative to the lowest polymorph listed for this composition comes out at 1621 meV per atom. Its space group is P4/mmm, No. 123.



No. 4
First-principles (PBE-GGA) data for crystalline NaS2N2 at its relaxed geometry, as listed in Alexandria.

Unit cell a=5.4084 b=5.4084 c=5.4084 alpha=136.72 beta=136.72 gamma=62.87
Last column: nearest neighbours and their distance in Å.
Positions (direct):
Na  0.0000  0.0000  0.0000  2 S 2.75, 8 N 3.05
S  0.2983  0.2983  0.0000  4 N 2.04
S  0.7017  0.7017  0.0000  4 N 2.04
N  0.2500  0.7500  0.5000  4 S 2.04
N  0.7500  0.2500  0.5000  4 S 2.04

## Properties
The density of states at the Fermi level is 0.3680 states/eV/atom. The raw formation energy is 902 meV per atom. The energy relative to the lowest polymorph listed for this composition comes out at 1157 meV per atom. Its space group is I4/mmm, No. 139.



No. 5
First-principles (PBE-GGA) data for crystalline Ti2ZnSi2 at its relaxed geometry, as listed in Alexandria.

Unit cell a=6.4380 b=6.4380 c=3.6055 alpha=90.00 beta=90.00 gamma=90.00
Last column: nearest neighbours and their distance in Å.
Positions (direct):
Ti  0.1723  0.3277  0.0000  6 Si 2.56-2.66
Ti  0.3277  0.8277  0.0000  6 Si 2.56-2.66
Ti  0.6723  0.1723  0.0000  6 Si 2.56-2.66
Ti  0.8277  0.6723  0.0000  6 Si 2.56-2.66
Zn  0.0000  0.0000  0.5000  4 Si 2.53
Zn  0.5000  0.5000  0.5000  4 Si 2.53
Si  0.1281  0.6281  0.5000  1 Si 2.33, 2 Zn 2.53, 2 Ti 2.56
Si  0.3719  0.1281  0.5000  1 Si 2.33, 2 Zn 2.53, 2 Ti 2.56
Si  0.6281  0.8719  0.5000  1 Si 2.33, 2 Zn 2.53, 2 Ti 2.56
Si  0.8719  0.3719  0.5000  1 Si 2.33, 2 Zn 2.53, 2 Ti 2.56

## Properties
The density of states at the Fermi level is 0.9650 states/eV/atom. The raw formation energy is -488 meV per atom. The energy relative to the lowest polymorph listed for this composition comes out at 0 meV per atom. Its space group is P4/mbm, No. 127.



No. 6
First-principles (PBE-GGA) data for crystalline Li3Sn6Ir at its relaxed geometry, as listed in Alexandria.

Unit cell a=7.7001 b=7.7001 c=7.7001 alpha=96.37 beta=96.37 gamma=96.37
Last column: nearest neighbours and their distance in Å.
Positions (direct):
Li  0.0324  0.3201  0.2281  5 Sn 2.75-2.94, 1 Ir 2.83, 2 Li 2.92
Li  0.2281  0.0324  0.3201  5 Sn 2.75-2.94, 1 Ir 2.83, 2 Li 2.92
Li  0.3201  0.2281  0.0324  5 Sn 2.75-2.94, 1 Ir 2.83, 2 Li 2.92
Li  0.6799  0.7719  0.9676  5 Sn 2.75-2.94, 1 Ir 2.83, 2 Li 2.92
Li  0.7719  0.9676  0.6799  5 Sn 2.75-2.94, 1 Ir 2.83, 2 Li 2.92
Li  0.9676  0.6799  0.7719  5 Sn 2.75-2.94, 1 Ir 2.83, 2 Li 2.92
Sn  0.0218  0.3356  0.8676  3 Li 2.75-2.89, 1 Ir 2.88, 2 Sn 2.99-3.07
Sn  0.1324  0.9782  0.6644  3 Li 2.75-2.89, 1 Ir 2.88, 2 Sn 2.99-3.07
Sn  0.1736  0.6138  0.4779  1 Ir 2.75, 2 Li 2.83-2.94, 2 Sn 2.99-3.07
Sn  0.3356  0.8676  0.0218  3 Li 2.75-2.89, 1 Ir 2.88, 2 Sn 2.99-3.07
Sn  0.3862  0.5221  0.8264  1 Ir 2.75, 2 Li 2.83-2.94, 2 Sn 2.99-3.07
Sn  0.4779  0.1736  0.6138  1 Ir 2.75, 2 Li 2.83-2.94, 2 Sn 2.99-3.07
Sn  0.5221  0.8264  0.3862  1 Ir 2.75, 2 Li 2.83-2.94, 2 Sn 2.99-3.07
Sn  0.6138  0.4779  0.1736  1 Ir 2.75, 2 Li 2.83-2.94, 2 Sn 2.99-3.07
Sn  0.6644  0.1324  0.9782  3 Li 2.75-2.89, 1 Ir 2.88, 2 Sn 2.99-3.07
Sn  0.8264  0.3862  0.5221  1 Ir 2.75, 2 Li 2.83-2.94, 2 Sn 2.99-3.07
Sn  0.8676  0.0218  0.3356  3 Li 2.75-2.89, 1 Ir 2.88, 2 Sn 2.99-3.07
Sn  0.9782  0.6644  0.1324  3 Li 2.75-2.89, 1 Ir 2.88, 2 Sn 2.99-3.07
Ir  0.0000  0.0000  0.0000  6 Li 2.83, 6 Sn 2.88
Ir  0.5000  0.5000  0.5000  6 Sn 2.75

## Properties
The calculation puts the formation energy from the elements at -0.173 eV per atom. The density of states at the Fermi level is 0.3437 states/eV/atom. Its space group is R-3, No. 148.



Respective magnetic moment values: 0.00 1.00 0.00 0.00 0.00 0.00 μB per formula unit.